Record 1
A plane-wave DFT calculation with PBE-GGA was carried out for crystalline NaTbGaTe3 at its relaxed geometry.

a b c (Å): 11.487 4.413 14.885
angles (deg): 90.00 90.00 90.00
Sites, in units of the cell vectors:
Na 0.223 0.250 0.014
Na 0.277 0.750 0.514
Na 0.723 0.250 0.486
Na 0.777 0.750 0.986
Tb 0.026 0.750 0.737
Tb 0.474 0.250 0.237
Tb 0.526 0.750 0.763
Tb 0.974 0.250 0.263
Ga 0.246 0.750 0.224
Ga 0.254 0.250 0.724
Ga 0.746 0.750 0.276
Ga 0.754 0.250 0.776
Te 0.046 0.750 0.125
Te 0.077 0.250 0.593
Te 0.231 0.250 0.341
Te 0.269 0.750 0.841
Te 0.423 0.750 0.093
Te 0.454 0.250 0.625
Te 0.546 0.750 0.375
Te 0.577 0.250 0.907
Te 0.731 0.250 0.159
Te 0.769 0.750 0.659
Te 0.923 0.750 0.407
Te 0.954 0.250 0.875

## Properties
As for the symmetry: Pnma (62). The calculation puts the polymorph energy (0 for the lowest one) at 2.8 kJ/mol of formula units.

Record 2
A plane-wave DFT calculation with PBE-GGA was carried out for crystalline NaGaTc at its relaxed geometry.

a b c (Å): 4.410 4.410 4.410
angles (deg): 60.00 60.00 60.00
Sites, in units of the cell vectors:
Na 0.000 0.000 0.000
Ga 0.250 0.250 0.250
Tc 0.500 0.500 0.500

## Properties
As for the symmetry: F-43m (216). The calculation puts the polymorph energy (0 for the lowest one) at 0.0 kJ/mol of formula units.

Record 3
A plane-wave DFT calculation with PBE-GGA was carried out for crystalline NaGaTc3 at its relaxed geometry.

a b c (Å): 4.678 4.678 4.678
angles (deg): 90.00 90.00 90.00
Sites, in units of the cell vectors:
Na 0.000 0.000 0.000
Ga 0.500 0.500 0.500
Tc 0.000 0.500 0.500
Tc 0.500 0.000 0.500
Tc 0.500 0.500 0.000

## Properties
As for the symmetry: Pm-3m (221). For the electronic total energy, the calculation gives -5.504 eV/atom.

Record 4
A plane-wave DFT calculation with PBE-GGA was carried out for crystalline NaGaTc at its relaxed geometry.

a b c (Å): 4.452 4.452 4.452
angles (deg): 60.00 60.00 60.00
Sites, in units of the cell vectors:
Na 0.000 0.000 0.000
Ga 0.750 0.750 0.750
Tc 0.250 0.250 0.250

## Properties
As for the symmetry: F-43m (216). The calculation puts the polymorph energy (0 for the lowest one) at 153.3 kJ/mol of formula units.

Record 5
A plane-wave DFT calculation with PBE-GGA was carried out for crystalline NaZrGaTe3 at its relaxed geometry.

a b c (Å): 8.035 8.035 10.502
angles (deg): 90.00 90.00 150.97
Sites, in units of the cell vectors:
Na 0.230 0.770 0.750
Na 0.770 0.230 0.250
Zr 0.000 0.000 0.000
Zr 0.000 0.000 0.500
Ga 0.474 0.526 0.250
Ga 0.526 0.474 0.750
Te 0.099 0.901 0.250
Te 0.362 0.638 0.046
Te 0.362 0.638 0.454
Te 0.638 0.362 0.546
Te 0.638 0.362 0.954
Te 0.901 0.099 0.750

## Properties
As for the symmetry: Cmcm (63). For the electronic total energy, the calculation gives -4.270 eV/atom.

Record 6
A plane-wave DFT calculation with PBE-GGA was carried out for crystalline NaThGa at its relaxed geometry.

a b c (Å): 4.960 4.960 4.960
angles (deg): 60.00 60.00 60.00
Sites, in units of the cell vectors:
Na 0.000 0.000 0.000
Th 0.500 0.500 0.500
Ga 0.250 0.250 0.250

## Properties
As for the symmetry: F-43m (216). The calculation puts the polymorph energy (0 for the lowest one) at 0.0 kJ/mol of formula units.

Record 7
A plane-wave DFT calculation with PBE-GGA was carried out for crystalline NaThGa at its relaxed geometry.

a b c (Å): 5.039 5.039 5.039
angles (deg): 60.00 60.00 60.00
Sites, in units of the cell vectors:
Na 0.000 0.000 0.000
Th 0.750 0.750 0.750
Ga 0.500 0.500 0.500

## Properties
As for the symmetry: F-43m (216). The calculation puts the polymorph energy (0 for the lowest one) at 131.6 kJ/mol of formula units.

Record 8
A plane-wave DFT calculation with PBE-GGA was carried out for crystalline Na2ZnGa at its relaxed geometry.

a b c (Å): 4.826 4.868 6.904
angles (deg): 90.00 90.00 90.00
Sites, in units of the cell vectors:
Na 0.250 0.000 0.122
Na 0.250 0.500 0.372
Na 0.750 0.000 0.878
Na 0.750 0.500 0.628
Zn 0.250 0.500 0.874
Zn 0.750 0.500 0.126
Ga 0.250 0.000 0.623
Ga 0.750 0.000 0.377

## Properties
As for the symmetry: Pmma (51). For the electronic total energy, the calculation gives -1.731 eV/atom.